ScPd3C | PBE | relaxed

Results
Energy of formation from the pure elements in eV/atom: -0.177
Relative energy among the computed polymorphs in eV per atom: 0.000
N(E_F) in states/eV per atom: 0.968
Crystal system: cubic

Cell lengths 4.2119, 4.2119, 4.2119 Å; angles 90.00, 90.00, 90.00 degrees
Space group Pm-3m (No. 221)
One atom of each set of equivalent atoms:
Sc 0.0000 0.0000 0.0000 x1
Pd 0.0000 0.5000 0.5000 x3
C 0.5000 0.5000 0.5000 x1

YTa2Cu | PBE | relaxed

Results
Energy of formation from the pure elements in eV/atom: 0.322
Relative energy among the computed polymorphs in eV per atom: 0.137
N(E_F) in states/eV per atom: 0.553
Crystal system: tetragonal

Cell lengths 4.7527, 4.7527, 6.7075 Å; angles 90.00, 90.00, 90.00 degrees
Space group I-4m2 (No. 119)
One atom of each set of equivalent atoms:
Y 0.0000 0.0000 0.0000 x2
Ta 0.0000 0.0000 0.5000 x2
Ta 0.0000 0.5000 0.2500 x2
Cu 0.0000 0.5000 0.7500 x2

Pr6SmY2Er | PBE | relaxed

Results
Energy of formation from the pure elements in eV/atom: 0.115
N(E_F) in states/eV per atom: 1.498
Crystal system: monoclinic

Cell lengths 9.4797, 15.3881, 9.6460 Å; angles 90.00, 96.31, 90.00 degrees
Space group C2/c (No. 15)
One atom of each set of equivalent atoms:
Pr 0.0612 0.1748 0.4425 x8
Pr 0.0932 0.3874 0.6156 x8
Pr 0.2175 0.2215 0.8118 x8
Sm 0.0000 0.0325 0.7500 x4
Y 0.2503 0.0465 0.0501 x8
Er 0.0000 0.4120 0.2500 x4

LaMoCl | PBE | relaxed

Results
Relative energy among the computed polymorphs in eV per atom: 0.006
N(E_F) in states/eV per atom: 0.780
Raw formation energy in kcal/mol of atoms: 3.14
Crystal system: tetragonal

Cell lengths 3.1431, 3.1431, 15.7853 Å; angles 90.00, 90.00, 90.00 degrees
Space group I4mm (No. 107)
One atom of each set of equivalent atoms:
La 0.0000 0.0000 0.0000 x2
Mo 0.0000 0.0000 0.3506 x2
Cl 0.0000 0.0000 0.6239 x2

Ho3TmMg4 | PBE | relaxed

Results
Energy of formation from the pure elements in eV/atom: -0.071
Relative energy among the computed polymorphs in eV per atom: 0.000
N(E_F) in states/eV per atom: 1.303
Crystal system: tetragonal

Cell lengths 3.7669, 3.7669, 15.1034 Å; angles 90.00, 90.00, 90.00 degrees
Space group P4/mmm (No. 123)
One atom of each set of equivalent atoms:
Ho 0.0000 0.0000 0.0000 x1
Ho 0.0000 0.0000 0.2504 x2
Tm 0.0000 0.0000 0.5000 x1
Mg 0.5000 0.5000 0.1253 x2
Mg 0.5000 0.5000 0.3760 x2

CsTc3H | PBE | relaxed

Results
Relative energy among the computed polymorphs in eV per atom: 2.013
N(E_F) in states/eV per atom: 1.157
Crystal system: cubic

Cell lengths 5.0189, 5.0189, 5.0189 Å; angles 90.00, 90.00, 90.00 degrees
Space group Pm-3m (No. 221)
One atom of each set of equivalent atoms:
Cs 0.0000 0.0000 0.0000 x1
Tc 0.0000 0.0000 0.5000 x3
H 0.5000 0.5000 0.5000 x1

Number 1: VASP energy -6.40 eV per atom, magnetic moment 0.00 μB/cell. Number 2: VASP energy -8.24 eV per atom, magnetic moment 0.00 μB/cell. Number 3: VASP energy -4.97 eV per atom, magnetic moment 0.00 μB/cell. Number 4: VASP energy -5.73 eV per atom, magnetic moment 0.00 μB/cell. Number 5: VASP energy -3.14 eV per atom, magnetic moment 0.00 μB/cell. Number 6: VASP energy -3.34 eV per atom, magnetic moment 6.81 μB/cell.